## HPdRu2N (PBE)

Data for HPdRu2N after structural relaxation.

Unit cell a=4.472 b=4.472 c=2.714 alpha=90.00 beta=90.00 gamma=90.00
Fractional coordinates of all 5 atoms:
H: 0.000 0.000 0.000
Pd: 0.500 0.500 0.000
Ru: 0.000 0.500 0.500
Ru: 0.500 0.000 0.500
N: 0.000 0.000 0.500

Output
The total DFT energy (no corrections) comes out at -6.4396 eV per atom. The space group is P4/mmm, No. 123.